Below is an optimized crystal structure of Tl2TeRh, with properties calculated at the PBE level.

Summary:
Formation energy without anion corrections ... 0.33 eV per atom
Theoretical density ... 10.91 g/cm³
Total energy ... -13.9 eV per formula unit
SG ... No. 65

Cell lengths 5.194, 5.194, 3.765 Å; angles 90.00, 90.00, 106.72 degrees
Element x y z (fractional)
1 Tl 0.000 0.500 0.000
2 Tl 0.500 0.000 0.000
3 Te 0.000 0.000 0.500
4 Rh 0.500 0.500 0.500


Below is an optimized crystal structure of Tl2TeRh, with properties calculated at the PBE level.

Summary:
Formation energy without anion corrections ... 0.19 eV per atom
Theoretical density ... 10.61 g/cm³
Total energy ... -14.5 eV per formula unit
SG ... No. 166

Cell lengths 9.321, 9.321, 9.321 Å; angles 22.05, 22.05, 22.05 degrees
Element x y z (fractional)
1 Tl 0.236 0.236 0.236
2 Tl 0.764 0.764 0.764
3 Te 0.000 0.000 0.000
4 Rh 0.500 0.500 0.500


Below is an optimized crystal structure of TlTeRh, with properties calculated at the PBE level.

Summary:
Formation energy without anion corrections ... -0.06 eV per atom
Theoretical density ... 10.09 g/cm³
Total energy ... -13.0 eV per formula unit
SG ... No. 216

Cell lengths 4.660, 4.660, 4.660 Å; angles 60.00, 60.00, 60.00 degrees
Element x y z (fractional)
1 Tl 0.000 0.000 0.000
2 Te 0.500 0.500 0.500
3 Rh 0.250 0.250 0.250